Below is an optimized crystal structure of Pu3AlS6, with properties calculated at the PBE-GGA level.

abc: 8.5691 8.5691 6.5036
angles: 90.00 90.00 102.72
Last column: nearest neighbours and their distance in Å.
Sites, in units of the cell vectors:
Pu1 0.1031 0.8969 0.5000  7 S 2.74-3.01
Pu2 0.2148 0.4157 0.5709  7 S 2.69-2.98
Pu3 0.4157 0.2148 0.0709  7 S 2.69-2.98
Pu4 0.5843 0.7852 0.5709  7 S 2.69-2.98
Pu5 0.7852 0.5843 0.0709  7 S 2.69-2.98
Pu6 0.8969 0.1031 0.0000  7 S 2.74-3.01
Al1 0.3034 0.6966 0.1207  4 S 2.26-2.29
Al2 0.6966 0.3034 0.6207  4 S 2.26-2.29
S1 0.0708 0.5991 0.2881  1 Al 2.26
S2 0.1359 0.1845 0.2861  4 Pu 2.69-2.79
S3 0.1845 0.1359 0.7861  4 Pu 2.69-2.79
S4 0.2839 0.7161 0.7757  1 Al 2.26
S5 0.4009 0.9292 0.2881  1 Al 2.26
S6 0.4606 0.5394 0.2577  1 Al 2.29
S7 0.5394 0.4606 0.7577  1 Al 2.29
S8 0.5991 0.0708 0.7881  1 Al 2.26
S9 0.7161 0.2839 0.2757  1 Al 2.26
S10 0.8155 0.8641 0.2861  4 Pu 2.69-2.79
S11 0.8641 0.8155 0.7861  4 Pu 2.69-2.79
S12 0.9292 0.4009 0.7881  1 Al 2.26

Values from the calculation:
The space group is Cmc2_1, No. 36. The uncorrected formation energy comes out at -15.26 eV/f.u. The density of states at the Fermi level comes out at 23.62 states/eV/f.u. The calculation puts the volume at 465.8 Å³/cell. The spin magnetization is 30.0 Bohr magnetons per cell.